1.
Density functional theory data (GGA-PBE) for a relaxed structure of Zn2IrW.

## Properties
DOS(E_F) = 1.8 states/eV/f.u.
distance to the lowest polymorph of the same formula = 20.35 kJ per mole of atoms
DFT total energy = -23.911 eV/f.u.

Structure (POSCAR):
```
Zn2IrW
1.0
2.746 -0.020 0.000
-1.182 2.479 0.000
0.000 0.000 8.978
Ir W Zn
1 1 2
Cartesian
0.000 0.000 4.488 Ir
0.782 1.230 6.696 W
0.000 0.000 0.033 Zn
0.782 1.230 2.250 Zn
```


2.
Density functional theory data (GGA-PBE) for a relaxed structure of ZnIrW3.

## Properties
DOS(E_F) = 3.5 states/eV/f.u.
distance to the lowest polymorph of the same formula = 0.00 kJ per mole of atoms
DFT total energy = -39.348 eV/f.u.

Structure (POSCAR):
```
ZnIrW3
1.0
4.468 0.000 0.000
0.000 4.468 0.000
0.000 0.000 4.468
W Ir Zn
3 1 1
Cartesian
2.234 0.000 0.000 W
0.000 0.000 2.234 W
0.000 2.234 0.000 W
2.234 2.234 2.234 Ir
0.000 0.000 0.000 Zn
```


3.
Density functional theory data (GGA-PBE) for a relaxed structure of ZnIr2W.

## Properties
DOS(E_F) = 0.0 states/eV/f.u.
DFT total energy = -28.813 eV/f.u.

Structure (POSCAR):
```
ZnIr2W
1.0
6.125 0.000 0.000
0.000 6.125 0.000
3.062 3.062 4.532
Ir W Zn
4 2 2
Cartesian
7.656 7.711 3.399 Ir
1.475 4.593 1.133 Ir
4.593 4.538 3.399 Ir
4.649 1.531 1.133 Ir
6.125 3.062 2.266 W
0.000 0.000 0.000 W
3.062 6.125 2.266 Zn
3.062 3.062 0.000 Zn
```


4.
Density functional theory data (GGA-PBE) for a relaxed structure of Zn2IrW.

## Properties
DOS(E_F) = 4.6 states/eV/f.u.
distance to the lowest polymorph of the same formula = 23.92 kJ per mole of atoms
DFT total energy = -23.762 eV/f.u.

Structure (POSCAR):
```
Zn2IrW
1.0
8.865 -0.006 -0.004
8.420 2.772 -0.004
8.420 1.347 2.422
Ir Zn W
1 2 1
Cartesian
6.426 1.028 0.604 Ir
12.928 2.069 1.215 Zn
25.629 4.101 2.408 Zn
19.279 3.085 1.811 W
```


5.
Density functional theory data (GGA-PBE) for a relaxed structure of Zn2IrW.

## Properties
DOS(E_F) = 4.0 states/eV/f.u.
distance to the lowest polymorph of the same formula = 39.11 kJ per mole of atoms
DFT total energy = -23.133 eV/f.u.

Structure (POSCAR):
```
Zn2IrW
1.0
-0.104 2.423 3.774
0.554 -3.739 2.416
2.857 0.335 -0.137
W Zn Ir
1 2 1
Cartesian
1.706 -1.702 1.139 W
0.000 0.000 0.000 Zn
0.225 -0.658 3.095 Zn
1.377 1.379 1.819 Ir
```


6.
Density functional theory data (GGA-PBE) for a relaxed structure of ZnIr2W.

## Properties
DOS(E_F) = 1.8 states/eV/f.u.
DFT total energy = -32.843 eV/f.u.

Structure (POSCAR):
```
ZnIr2W
1.0
2.819 0.000 0.000
0.000 3.703 0.000
0.000 0.000 5.655
Ir Zn W
2 1 1
Cartesian
0.000 0.000 2.832 Ir
0.000 0.000 5.650 Ir
1.410 1.851 4.241 Zn
1.410 1.851 1.414 W
```


7.
Density functional theory data (GGA-PBE) for a relaxed structure of ZnIr2W.

## Properties
DOS(E_F) = 1.1 states/eV/f.u.
DFT total energy = -33.212 eV/f.u.

Structure (POSCAR):
```
ZnIr2W
1.0
2.846 0.000 0.000
0.000 2.846 0.000
0.000 0.000 7.253
Zn Ir W
1 2 1
Cartesian
1.423 1.423 5.440 Zn
0.000 0.000 3.645 Ir
0.000 0.000 7.234 Ir
1.423 1.423 1.813 W
```


8.
Density functional theory data (GGA-PBE) for a relaxed structure of ZnIr2W.

## Properties
DOS(E_F) = 4.4 states/eV/f.u.
DFT total energy = -32.574 eV/f.u.

Structure (POSCAR):
```
ZnIr2W
1.0
-1.382 -8.639 1.467
-1.268 -8.676 -1.342
1.104 -8.800 0.163
Ir W Zn
2 1 1
Cartesian
-0.774 -13.071 0.144 Ir
-1.545 -26.102 0.288 Ir
-0.386 -6.529 0.072 W
-1.159 -19.586 0.216 Zn
```


9.
Density functional theory data (GGA-PBE) for a relaxed structure of ZnIr2W.

## Properties
DOS(E_F) = 2.4 states/eV/f.u.
DFT total energy = -32.158 eV/f.u.

Structure (POSCAR):
```
ZnIr2W
1.0
4.909 -0.005 -0.010
1.991 4.487 0.010
-3.445 -2.249 2.679
W Zn Ir
1 1 2
Cartesian
3.450 2.241 0.000 W
0.998 2.240 1.344 Zn
2.457 -0.007 1.334 Ir
0.000 0.000 0.000 Ir
```


10.
Density functional theory data (GGA-PBE) for a relaxed structure of Zn3IrW.

## Properties
DOS(E_F) = 9.4 states/eV/f.u.
distance to the lowest polymorph of the same formula = 0.00 kJ per mole of atoms
DFT total energy = -18.721 eV/f.u.

Structure (POSCAR):
```
Zn3IrW
1.0
-1.551 -3.326 2.809
3.391 0.948 2.994
-2.731 3.065 2.123
W Zn Ir
1 3 1
Cartesian
-0.446 0.343 3.963 W
1.695 0.474 1.497 Zn
-0.775 -1.663 1.404 Zn
-1.365 1.533 1.061 Zn
0.000 0.000 0.000 Ir
```


11.
Density functional theory data (GGA-PBE) for a relaxed structure of ZnIrW.

## Properties
DOS(E_F) = 1.4 states/eV/f.u.
distance to the lowest polymorph of the same formula = 32.12 kJ per mole of atoms
DFT total energy = -22.686 eV/f.u.

Structure (POSCAR):
```
ZnIrW
1.0
-7.051 -0.223 -1.095
-6.623 -1.523 1.273
-0.874 2.581 0.238
W Zn Ir
1 1 1
Cartesian
-5.174 1.128 0.218 W
-9.385 -0.296 0.199 Zn
-13.662 -1.742 0.179 Ir
```


12.
Density functional theory data (GGA-PBE) for a relaxed structure of Zn2IrW.

## Properties
DOS(E_F) = 1.8 states/eV/f.u.
distance to the lowest polymorph of the same formula = 8.02 kJ per mole of atoms
DFT total energy = -24.422 eV/f.u.

Structure (POSCAR):
```
Zn2IrW
1.0
3.761 0.000 0.000
0.000 2.816 0.019
0.000 2.768 5.658
Zn Ir W
2 1 1
Cartesian
1.880 1.399 1.346 Zn
0.000 2.817 0.108 Zn
0.000 2.789 2.923 Ir
1.880 4.188 4.158 W
```


13.
Density functional theory data (GGA-PBE) for a relaxed structure of ZnIr2W.

## Properties
DOS(E_F) = 4.0 states/eV/f.u.
DFT total energy = -31.896 eV/f.u.

Structure (POSCAR):
```
ZnIr2W
1.0
9.062 -0.013 -0.007
8.639 2.739 -0.007
8.639 1.330 2.394
Ir Zn W
2 1 1
Cartesian
6.556 1.010 0.592 Ir
0.051 0.008 0.005 Ir
19.678 3.030 1.777 Zn
13.224 2.036 1.194 W
```


14.
Density functional theory data (GGA-PBE) for a relaxed structure of Zn2Ir2W.

## Properties
DOS(E_F) = 5.3 states/eV/f.u.
distance to the lowest polymorph of the same formula = 41.30 kJ per mole of atoms
DFT total energy = -32.238 eV/f.u.

Structure (POSCAR):
```
Zn2Ir2W
1.0
-2.529 -0.336 2.206
2.088 -1.532 2.160
1.373 5.112 4.931
W Zn Ir
1 2 2
Cartesian
0.000 0.000 0.000 W
1.620 1.323 4.637 Zn
-0.688 1.921 4.660 Zn
0.091 0.247 2.720 Ir
0.841 2.997 6.577 Ir
```


15.
Density functional theory data (GGA-PBE) for a relaxed structure of ZnIrW3.

## Properties
DOS(E_F) = 5.1 states/eV/f.u.
distance to the lowest polymorph of the same formula = 3.04 kJ per mole of atoms
DFT total energy = -39.191 eV/f.u.

Structure (POSCAR):
```
ZnIrW3
1.0
4.761 0.000 0.000
0.000 4.761 0.000
0.000 0.000 4.761
Zn Ir W
1 1 3
Cartesian
2.380 2.380 2.380 Zn
0.000 0.000 0.000 Ir
0.000 2.380 0.000 W
2.380 0.000 0.000 W
0.000 0.000 2.380 W
```


16.
Density functional theory data (GGA-PBE) for a relaxed structure of ZnIr3W.

## Properties
DOS(E_F) = 6.9 states/eV/f.u.
distance to the lowest polymorph of the same formula = 0.00 kJ per mole of atoms
DFT total energy = -32.809 eV/f.u.

Structure (POSCAR):
```
ZnIr3W
1.0
-4.210 1.915 -1.106
-1.960 -4.333 -0.043
-1.025 0.417 4.625
Zn Ir W
1 3 1
Cartesian
-3.597 -1.000 1.738 Zn
-0.512 0.209 2.313 Ir
-0.980 -2.166 -0.022 Ir
-2.105 0.958 -0.553 Ir
0.000 0.000 0.000 W
```


17.
Density functional theory data (GGA-PBE) for a relaxed structure of ZnIr2W.

## Properties
DOS(E_F) = 2.1 states/eV/f.u.
DFT total energy = -32.294 eV/f.u.

Structure (POSCAR):
```
ZnIr2W
1.0
-1.954 -0.660 3.453
-0.475 -2.648 -0.775
4.070 -4.130 1.514
Ir Zn W
2 1 1
Cartesian
0.034 -2.060 1.968 Ir
3.907 -4.074 1.432 Ir
1.816 -5.446 2.330 Zn
1.752 -3.378 0.346 W
```


18.
Density functional theory data (GGA-PBE) for a relaxed structure of ZnIrW.

## Properties
DOS(E_F) = 1.6 states/eV/f.u.
distance to the lowest polymorph of the same formula = 16.01 kJ per mole of atoms
DFT total energy = -23.187 eV/f.u.

Structure (POSCAR):
```
ZnIrW
1.0
4.728 0.015 -0.007
2.298 4.132 0.007
-3.138 -2.710 2.274
Zn W Ir
1 1 1
Cartesian
4.679 2.762 0.000 Zn
2.364 1.396 0.000 W
7.009 4.138 0.000 Ir
```


19.
Density functional theory data (GGA-PBE) for a relaxed structure of ZnIr2W.

## Properties
DOS(E_F) = 1.7 states/eV/f.u.
DFT total energy = -32.672 eV/f.u.

Structure (POSCAR):
```
ZnIr2W
1.0
-4.487 0.594 -1.103
-2.144 -3.916 1.332
2.840 2.786 2.425
Ir Zn W
2 1 1
Cartesian
-3.315 -1.661 0.114 Ir
0.000 0.000 0.000 Ir
-1.310 -1.395 1.935 Zn
-2.481 0.859 0.718 W
```


20.
Density functional theory data (GGA-PBE) for a relaxed structure of Zn2IrW.

## Properties
DOS(E_F) = 1.6 states/eV/f.u.
distance to the lowest polymorph of the same formula = 19.01 kJ per mole of atoms
DFT total energy = -23.966 eV/f.u.

Structure (POSCAR):
```
Zn2IrW
1.0
2.838 0.000 0.000
0.000 4.653 0.000
0.000 0.000 4.542
Zn Ir W
2 1 1
Cartesian
0.000 0.000 0.000 Zn
1.419 2.326 0.000 Zn
1.419 0.000 2.271 Ir
0.000 2.326 2.271 W
```